# 1
{
  "formula": "Zn4W",
  "functional": "PBE",
  "state": "optimized geometry",
  "cell": [[-3.4319, 2.1240, -2.9920], [-3.6192, -1.2851, 3.2391], [0.6040, 4.3679, 2.4080]],
  "species": ["Zn", "Zn", "Zn", "Zn", "W"],
  "fractional_positions": [[0.5000, 0.5000, 0.0000], [0.0000, 0.0000, 0.0000], [0.5000, 0.0000, 0.5000], [0.0000, 0.5000, 0.5000], [0.5000, 0.5000, 0.5000]],
  "e_form_kj_per_mol_fu": 598.6,
  "m_tot_mub_per_fu": 2.54
}

---

# 2
{
  "formula": "Zn3W4",
  "functional": "PBE",
  "state": "optimized geometry",
  "cell": [[2.4405, -4.2271, 0.0000], [2.4405, 4.2271, 0.0000], [0.0000, 0.0000, 5.0493]],
  "species": ["Zn", "Zn", "Zn", "W", "W", "W", "W"],
  "fractional_positions": [[0.5000, 0.5000, 0.0000], [0.0000, 0.5000, 0.0000], [0.5000, 0.0000, 0.0000], [0.0000, 0.0000, 0.2583], [0.6667, 0.3333, 0.5000], [0.3333, 0.6667, 0.5000], [0.0000, 0.0000, 0.7417]],
  "relative_energy_ev_per_atom": 0.0000,
  "e_form_kj_per_mol_fu": 188.9,
  "m_tot_mub_per_fu": 0.00
}

---

# 3
{
  "formula": "Zn5W4",
  "functional": "PBE",
  "state": "optimized geometry",
  "cell": [[7.7346, 0.0000, 0.0000], [3.8673, 6.6984, 0.0000], [0.0000, 0.0000, 5.2205]],
  "species": ["Zn", "Zn", "Zn", "Zn", "Zn", "Zn", "Zn", "Zn", "Zn", "Zn", "W", "W", "W", "W", "W", "W", "W", "W"],
  "fractional_positions": [[0.0000, 0.6902, 0.7500], [0.0000, 0.3098, 0.2500], [0.6667, 0.6667, 0.0000], [0.6667, 0.6667, 0.5000], [0.3333, 0.3333, 0.0000], [0.3333, 0.3333, 0.5000], [0.3098, 0.6902, 0.2500], [0.6902, 0.3098, 0.7500], [0.6902, 0.0000, 0.2500], [0.3098, 0.0000, 0.7500], [0.3544, 0.0000, 0.2500], [0.3544, 0.6456, 0.7500], [0.0000, 0.0000, 0.5000], [0.6456, 0.3544, 0.2500], [0.0000, 0.0000, 0.0000], [0.6456, 0.0000, 0.7500], [0.0000, 0.3544, 0.7500], [0.0000, 0.6456, 0.2500]],
  "relative_energy_ev_per_atom": 0.3849,
  "e_form_kj_per_mol_fu": 492.9,
  "m_tot_mub_per_fu": 0.00
}

---

# 4
{
  "formula": "Zn3W",
  "functional": "PBE",
  "state": "optimized geometry",
  "cell": [[-2.4986, 1.2266, 0.3832], [1.5299, -0.7946, 2.2186], [3.9293, 7.9596, 0.1413]],
  "species": ["Zn", "Zn", "Zn", "W"],
  "fractional_positions": [[0.3333, 0.6667, 0.2538], [0.3333, 0.6667, 0.7462], [0.0000, 0.0000, 0.5000], [0.0000, 0.0000, 0.0000]],
  "e_form_kj_per_mol_fu": 56.7,
  "m_tot_mub_per_fu": 0.00
}